one:
# CuTc2Cl

A relaxed structure of CuTc2Cl (PBE-GGA, the Alexandria database).

Values from the calculation:
**Total moment**: 0.0 μB/f.u.
**Volume**: 55.1 Å³ per cell
**Crystal system**: tetragonal

a = 4.377 Å, b = 4.377 Å, c = 2.877 Å
α = 90.00°, β = 90.00°, γ = 90.00°
Space group P4/mmm (No. 123)
Unique sites:
Cu 0.000 0.000 0.000 (multiplicity 1)
Tc 0.000 0.500 0.500 (multiplicity 2)
Cl 0.500 0.500 0.000 (multiplicity 1)



two:
# CuTc2Cl

A relaxed structure of CuTc2Cl (PBE-GGA, the Alexandria database).

Values from the calculation:
**Total moment**: 0.0 μB/f.u.
**Volume**: 118.5 Å³ per cell
**Crystal system**: orthorhombic

a = 2.785 Å, b = 4.474 Å, c = 9.513 Å
α = 90.00°, β = 90.00°, γ = 90.00°
Space group Imm2 (No. 44)
Unique sites:
Cu 0.000 0.000 0.000 (multiplicity 2)
Tc 0.000 0.000 0.502 (multiplicity 2)
Tc 0.000 0.500 0.226 (multiplicity 2)
Cl 0.000 0.500 0.774 (multiplicity 2)



two (0.178 eV/atom below the next structure)



one:
# Re2RuPt

A relaxed structure of Re2RuPt (PBE-GGA, the Alexandria database).

Values from the calculation:
**Total moment**: 0.7 μB/f.u.
**Volume**: 243.1 Å³ per cell
**Crystal system**: cubic

a = 6.241 Å, b = 6.241 Å, c = 6.241 Å
α = 90.00°, β = 90.00°, γ = 90.00°
Space group Fm-3m (No. 225)
Unique sites:
Re 0.250 0.250 0.250 (multiplicity 8)
Ru 0.000 0.000 0.000 (multiplicity 4)
Pt 0.000 0.000 0.500 (multiplicity 4)



two:
# Re2RuPt

A relaxed structure of Re2RuPt (PBE-GGA, the Alexandria database).

Values from the calculation:
**Total moment**: 0.0 μB/f.u.
**Volume**: 59.5 Å³ per cell
**Crystal system**: tetragonal

a = 2.745 Å, b = 2.745 Å, c = 7.895 Å
α = 90.00°, β = 90.00°, γ = 90.00°
Space group P4mm (No. 99)
Unique sites:
Re 0.000 0.000 0.000 (multiplicity 1)
Re 0.500 0.500 0.260 (multiplicity 1)
Ru 0.000 0.000 0.485 (multiplicity 1)
Pt 0.500 0.500 0.753 (multiplicity 1)



two (0.596 eV/atom below the next structure)



one:
# SiTePb2

A relaxed structure of SiTePb2 (PBE-GGA, the Alexandria database).

Values from the calculation:
**Total moment**: 0.0 μB/f.u.
**Volume**: 348.1 Å³ per cell
**Crystal system**: trigonal

a = 3.8685 Å, b = 3.8685 Å, c = 26.8618 Å
α = 90.00°, β = 90.00°, γ = 120.00°
Space group R3m (No. 160, hexagonal axes)
Unique sites:
Si 0.0000 0.0000 0.0000 (multiplicity 3)
Te 0.0000 0.0000 0.2757 (multiplicity 3)
Pb 0.0000 0.0000 0.5051 (multiplicity 3)
Pb 0.0000 0.0000 0.7449 (multiplicity 3)



two:
# SiTePb2

A relaxed structure of SiTePb2 (PBE-GGA, the Alexandria database).

Values from the calculation:
**Total moment**: 0.0 μB/f.u.
**Volume**: 116.7 Å³ per cell
**Crystal system**: monoclinic

a = 3.201 Å, b = 4.206 Å, c = 8.672 Å
α = 90.00°, β = 92.40°, γ = 90.00°
Space group P2/m (No. 10)
Unique sites:
Si 0.000 0.000 0.000 (multiplicity 1)
Te 0.500 0.000 0.500 (multiplicity 1)
Pb 0.499 0.500 0.209 (multiplicity 2)



one (0.049 eV/atom below the next structure)